# 1
The following is a PBEsol calculation of a geometry-optimized Nd2CuTe4 structure, from Alexandria via LeMat-Bulk.

```
14
Lattice="-5.318 1.949 2.774 2.492 -2.706 6.625 3.523 7.271 1.645" Properties=species:S:1:pos:R:3 pbc="T T T"
Cu 2.610 4.771 6.016
Nd 2.560 3.443 2.515
Nd 1.218 7.210 4.474
Te -2.226 3.264 7.531
Te 0.402 4.169 4.836
Te 0.944 4.427 9.445
Te 4.093 5.663 4.058
Te -0.877 -0.074 5.660
Te -2.884 3.069 3.043
Nd 0.836 2.104 7.202
Te -0.241 2.100 1.602
Te 3.598 3.480 8.008
Nd -3.189 0.333 7.909
Cu -1.624 2.340 5.163
```

Summary:
Magnetic moment ... 0.00 μB/cell
Volume ... 28.15 Å³/atom
E_tot ... -5.177 eV/atom
Uncorrected formation energy ... -7.46 eV/f.u.

=====

# 2
The following is a PBEsol calculation of a geometry-optimized Cu3Ni4 structure, from Alexandria via LeMat-Bulk.

```
7
Lattice="-1.668 1.614 -1.633 -0.277 -2.145 -1.838 -6.541 -2.768 6.409" Properties=species:S:1:pos:R:3 pbc="T T T"
Ni -6.379 -2.449 1.627
Ni -2.106 -0.851 1.310
Cu 0.000 0.000 0.000
Cu -4.308 -1.739 2.679
Ni -6.427 -2.595 3.998
Ni -2.058 -0.704 -1.060
Cu -4.178 -1.560 0.258
```

Summary:
Magnetic moment ... 1.52 μB/cell
Volume ... 10.76 Å³/atom
E_tot ... -5.291 eV/atom
E_form ... 0.085 eV/atom

=====

# 3
The following is a PBEsol calculation of a geometry-optimized CuNi5 structure, from Alexandria via LeMat-Bulk.

```
6
Lattice="2.449 0.000 0.000 0.000 4.032 0.000 -1.224 0.000 6.380" Properties=species:S:1:pos:R:3 pbc="T T T"
Ni 0.000 0.000 4.234
Ni 1.224 0.000 2.141
Ni 1.224 2.016 3.550
Ni 0.000 2.016 5.659
Ni 0.000 2.016 1.429
Cu 0.000 0.000 0.001
```

Summary:
Magnetic moment ... 2.72 μB/cell
Volume ... 10.50 Å³/atom
E_tot ... -5.810 eV/atom
E_form ... 0.043 eV/atom

=====

# 4
The following is a PBEsol calculation of a geometry-optimized Cu2Ni structure, from Alexandria via LeMat-Bulk.

```
12
Lattice="-0.019 2.787 2.156 1.073 -2.968 3.847 7.284 1.015 -1.248" Properties=species:S:1:pos:R:3 pbc="T T T"
Cu 1.941 0.583 0.704
Cu 2.493 -0.899 2.625
Cu 4.384 0.917 0.293
Ni 3.442 1.398 2.542
Cu 5.844 1.733 2.131
Ni 4.895 -0.564 2.213
Cu 7.338 -0.230 1.802
Cu 3.954 -0.083 4.462
Ni 1.516 -0.429 4.888
Cu 1.000 1.064 2.953
Ni 6.822 1.263 -0.133
Cu 6.397 0.251 4.052
```

Summary:
Magnetic moment ... 0.00 μB/cell
Volume ... 10.90 Å³/atom
E_tot ... -4.928 eV/atom
E_form ... 0.014 eV/atom

=====

# 5
The following is a PBEsol calculation of a geometry-optimized CuNi3 structure, from Alexandria via LeMat-Bulk.

```
4
Lattice="-2.113 0.343 1.192 -0.218 -3.964 0.753 2.147 0.574 3.642" Properties=species:S:1:pos:R:3 pbc="T T T"
Cu 0.002 0.000 0.003
Ni 0.612 -1.789 1.599
Ni 0.018 0.458 2.419
Ni 0.616 -1.334 3.994
```

Summary:
Magnetic moment ... 1.46 μB/cell
Volume ... 10.56 Å³/atom
E_tot ... -5.656 eV/atom
E_form ... 0.046 eV/atom

=====

# 6
The following is a PBEsol calculation of a geometry-optimized CuNi3 structure, from Alexandria via LeMat-Bulk.

```
4
Lattice="2.459 0.000 0.000 0.000 3.477 0.000 0.000 0.000 4.933" Properties=species:S:1:pos:R:3 pbc="T T T"
Ni 0.000 0.000 2.467
Ni 1.230 1.739 1.256
Ni 1.230 1.739 3.677
Cu 0.000 0.000 0.000
```

Summary:
Magnetic moment ... 1.51 μB/cell
Volume ... 10.55 Å³/atom
E_tot ... -5.672 eV/atom
E_form ... 0.030 eV/atom